A plane-wave DFT calculation with GGA-PBE was carried out for Cd5C4 after structural relaxation.

Cell lengths 7.5085, 7.5085, 5.7058 Å; angles 90.00, 90.00, 120.00 degrees
With the nearest neighbours (Å) after each atom.
Atoms (fractional coordinates):
Cd  0.6667  0.3333  0.5000  6 C 2.63, 2 Cd 2.85
Cd  0.2484  0.0000  0.7500  3 C 2.31-2.35
C  0.0000  0.0000  0.5000  6 Cd 2.35
Cd  0.0000  0.2484  0.7500  3 C 2.31-2.35
Cd  0.7516  0.0000  0.2500  3 C 2.31-2.35
C  0.4444  0.0000  0.2500  1 Cd 2.31
Cd  0.7516  0.7516  0.7500  3 C 2.31-2.35
C  0.5556  0.0000  0.7500  1 Cd 2.31
Cd  0.0000  0.7516  0.2500  3 C 2.31-2.35
C  0.0000  0.4444  0.2500  1 Cd 2.31
Cd  0.3333  0.6667  0.0000  6 C 2.63, 2 Cd 2.85
C  0.0000  0.0000  0.0000  6 Cd 2.35
C  0.5556  0.5556  0.2500  1 Cd 2.31
Cd  0.2484  0.2484  0.2500  3 C 2.31-2.35
C  0.0000  0.5556  0.7500  1 Cd 2.31
Cd  0.3333  0.6667  0.5000  6 C 2.63, 2 Cd 2.85
C  0.4444  0.4444  0.7500  1 Cd 2.31
Cd  0.6667  0.3333  0.0000  6 C 2.63, 2 Cd 2.85

Summary:
Space-group type ... P6_3/mcm, No. 193



A plane-wave DFT calculation with GGA-PBE was carried out for Cd3C after structural relaxation.

Cell lengths 8.5117, 8.5117, 2.9677 Å; angles 90.00, 90.00, 133.73 degrees
With the nearest neighbours (Å) after each atom.
Atoms (fractional coordinates):
Cd  0.3324  0.1626  0.7500  2 C 2.47
Cd  0.7711  0.2289  0.7500  2 C 2.41
Cd  0.6676  0.8374  0.2500  2 C 2.47
Cd  0.1626  0.3324  0.2500  2 C 2.47
Cd  0.2289  0.7711  0.2500  2 C 2.41
C  0.6501  0.3499  0.2500  6 Cd 2.41-2.47
Cd  0.8374  0.6676  0.7500  2 C 2.47
C  0.3499  0.6501  0.7500  6 Cd 2.41-2.47

Summary:
Space-group type ... Cmcm, No. 63



A plane-wave DFT calculation with GGA-PBE was carried out for Cd3C after structural relaxation.

Cell lengths 5.0763, 5.0763, 5.0763 Å; angles 130.86, 130.86, 72.03 degrees
With the nearest neighbours (Å) after each atom.
Atoms (fractional coordinates):
Cd  0.7500  0.2500  0.5000  4 C 2.94, 8 Cd 2.94-2.98
Cd  0.2500  0.7500  0.5000  8 Cd 2.94-2.98, 4 C 2.94
Cd  0.5000  0.5000  0.0000  8 Cd 2.94, 4 C 2.98
C  0.0000  0.0000  0.0000  12 Cd 2.94-2.98

Summary:
Space-group type ... I4/mmm, No. 139



A plane-wave DFT calculation with GGA-PBE was carried out for Cd4C after structural relaxation.

Cell lengths 4.7248, 4.7248, 4.7248 Å; angles 90.00, 90.00, 90.00 degrees
With the nearest neighbours (Å) after each atom.
Atoms (fractional coordinates):
Cd  0.0000  0.5000  0.5000  2 C 2.36
Cd  0.0000  0.0000  0.0000  12 Cd 3.34
Cd  0.5000  0.5000  0.0000  2 C 2.36
Cd  0.5000  0.0000  0.5000  2 C 2.36
C  0.5000  0.5000  0.5000  6 Cd 2.36

Summary:
Space-group type ... Pm-3m, No. 221



A plane-wave DFT calculation with GGA-PBE was carried out for Cd3C after structural relaxation.

Cell lengths 3.0913, 3.0913, 7.9657 Å; angles 90.00, 90.00, 102.58 degrees
With the nearest neighbours (Å) after each atom.
Atoms (fractional coordinates):
Cd  0.0000  0.0000  0.5000  12 Cd 3.09-3.46
C  0.0000  0.0000  0.0000  4 Cd 2.45
Cd  0.5000  0.5000  0.8117  2 C 2.45
Cd  0.5000  0.5000  0.1883  2 C 2.45

Summary:
Space-group type ... Cmmm, No. 65



A plane-wave DFT calculation with GGA-PBE was carried out for CdC after structural relaxation.

Cell lengths 12.4211, 12.4211, 12.4211 Å; angles 12.33, 12.33, 12.33 degrees
With the nearest neighbours (Å) after each atom.
Atoms (fractional coordinates):
Cd  0.8757  0.8757  0.8757  6 Cd 2.67
Cd  0.1243  0.1243  0.1243  6 Cd 2.67
C  0.6667  0.6667  0.6667  3 C 1.54
C  0.3333  0.3333  0.3333  3 C 1.54

Summary:
Space-group type ... R-3m, No. 166



A plane-wave DFT calculation with GGA-PBE was carried out for Cd3C4 after structural relaxation.

Cell lengths 6.7489, 6.7489, 2.7185 Å; angles 90.00, 90.00, 120.00 degrees
With the nearest neighbours (Å) after each atom.
Atoms (fractional coordinates):
Cd  0.0000  0.5000  0.0000  4 C 2.38
C  0.0000  0.0000  0.2481  2 C 1.35-1.37
C  0.0000  0.0000  0.7519  2 C 1.35-1.37
Cd  0.5000  0.0000  0.0000  4 C 2.38
C  0.3333  0.6667  0.5000  6 Cd 2.38
C  0.6667  0.3333  0.5000  6 Cd 2.38
Cd  0.5000  0.5000  0.0000  4 C 2.38

Summary:
Space-group type ... P6/mmm, No. 191



A plane-wave DFT calculation with GGA-PBE was carried out for CdC5 after structural relaxation.

Cell lengths 6.1460, 6.1460, 2.5582 Å; angles 90.00, 90.00, 128.96 degrees
With the nearest neighbours (Å) after each atom.
Atoms (fractional coordinates):
C  0.4252  0.5748  0.5000  2 C 1.28
C  0.4320  0.5680  0.0000  2 C 1.28
Cd  0.0931  0.9069  0.5000  1 C 2.39, 2 Cd 2.56
C  0.8163  0.1837  0.0000  3 C 1.41-1.45
C  0.8772  0.1228  0.5000  2 C 1.45
C  0.6894  0.3106  0.0000  1 C 1.41

Summary:
Space-group type ... Amm2, No. 38



A plane-wave DFT calculation with GGA-PBE was carried out for CdC2 after structural relaxation.

Cell lengths 2.5897, 2.5897, 18.0084 Å; angles 90.00, 90.00, 120.00 degrees
With the nearest neighbours (Å) after each atom.
Atoms (fractional coordinates):
C  0.6667  0.3333  0.0000  3 C 1.50
Cd  0.6667  0.3333  0.2500  6 Cd 2.59
C  0.3333  0.6667  0.5000  3 C 1.50
C  0.3333  0.6667  0.0000  3 C 1.50
C  0.6667  0.3333  0.5000  3 C 1.50
Cd  0.3333  0.6667  0.7500  6 Cd 2.59

Summary:
Space-group type ... P6_3/mmc, No. 194



A plane-wave DFT calculation with GGA-PBE was carried out for CdC3 after structural relaxation.

Cell lengths 3.3281, 5.8291, 5.8525 Å; angles 90.00, 90.00, 90.00 degrees
With the nearest neighbours (Å) after each atom.
Atoms (fractional coordinates):
Cd  0.5173  0.0000  0.0000  4 C 2.31-2.32
C  0.0175  0.5000  0.0000  2 C 1.31
C  0.0175  0.2760  0.0000  1 C 1.31
C  0.9825  0.7760  0.5000  1 C 1.31
C  0.0175  0.7240  0.0000  1 C 1.31
C  0.9825  0.0000  0.5000  2 C 1.31
Cd  0.4827  0.5000  0.5000  4 C 2.31-2.32
C  0.9825  0.2240  0.5000  1 C 1.31

Summary:
Space-group type ... Pmmn, No. 59



A plane-wave DFT calculation with GGA-PBE was carried out for CdC2 after structural relaxation.

Cell lengths 10.0191, 10.0191, 2.6176 Å; angles 90.00, 90.00, 120.00 degrees
With the nearest neighbours (Å) after each atom.
Atoms (fractional coordinates):
C  0.6674  0.0000  0.0000  2 C 1.31
C  0.3326  0.3326  0.0000  2 C 1.31
Cd  0.6667  0.3333  0.0000  2 Cd 2.62
Cd  0.3333  0.6667  0.0000  2 Cd 2.62
C  0.0000  0.6666  0.5000  2 C 1.31
C  0.6666  0.0000  0.5000  2 C 1.31
C  0.0000  0.6674  0.0000  2 C 1.31
Cd  0.0000  0.0000  0.5000  2 Cd 2.62
C  0.3334  0.3334  0.5000  2 C 1.31

Summary:
Space-group type ... P-62m, No. 189



A plane-wave DFT calculation with GGA-PBE was carried out for CdC after structural relaxation.

Cell lengths 5.8744, 5.8744, 8.0316 Å; angles 51.72, 51.72, 26.28 degrees
With the nearest neighbours (Å) after each atom.
Atoms (fractional coordinates):
Cd  0.9369  0.9369  0.0849  1 C 2.52, 2 Cd 2.67
Cd  0.7272  0.7272  0.9716  2 C 2.47, 2 Cd 2.67
C  0.3614  0.3614  0.6377  1 C 1.43
Cd  0.0915  0.0915  0.4375  4 C 2.43-2.60, 2 Cd 2.67
C  0.7597  0.7597  0.4917  2 C 1.50
C  0.2900  0.2900  0.5433  3 C 1.43-1.50

Summary:
Space-group type ... Cm, No. 8



A plane-wave DFT calculation with GGA-PBE was carried out for CdC2 after structural relaxation.

Cell lengths 3.9835, 3.9835, 5.8734 Å; angles 90.00, 90.00, 90.00 degrees
With the nearest neighbours (Å) after each atom.
Atoms (fractional coordinates):
C  0.3888  0.6112  0.5000  1 C 1.25
C  0.6112  0.3888  0.5000  1 C 1.25
C  0.8888  0.8888  0.0000  1 C 1.25
Cd  0.5000  0.5000  0.0000  2 C 2.19
Cd  0.0000  0.0000  0.5000  2 C 2.19
C  0.1112  0.1112  0.0000  1 C 1.25

Summary:
Space-group type ... P4_2/mnm, No. 136



A plane-wave DFT calculation with GGA-PBE was carried out for CdC after structural relaxation.

Cell lengths 7.0199, 7.0199, 7.0199 Å; angles 90.00, 90.00, 90.00 degrees
With the nearest neighbours (Å) after each atom.
Atoms (fractional coordinates):
C  0.1474  0.1474  0.1474  4 Cd 2.14-2.29
C  0.3526  0.3526  0.6474  4 Cd 2.14-2.29
Cd  0.6767  0.3233  0.6767  4 C 2.14-2.29
Cd  0.8233  0.8233  0.8233  4 C 2.14-2.29
C  0.6474  0.6474  0.6474  4 Cd 2.14-2.29
C  0.8526  0.8526  0.1474  4 Cd 2.14-2.29
C  0.6474  0.3526  0.3526  4 Cd 2.14-2.29
C  0.3526  0.6474  0.3526  4 Cd 2.14-2.29
Cd  0.8233  0.1767  0.1767  4 C 2.14-2.29
C  0.1474  0.8526  0.8526  4 Cd 2.14-2.29
Cd  0.3233  0.6767  0.6767  4 C 2.14-2.29
C  0.8526  0.1474  0.8526  4 Cd 2.14-2.29
Cd  0.6767  0.6767  0.3233  4 C 2.14-2.29
Cd  0.1767  0.1767  0.8233  4 C 2.14-2.29
Cd  0.1767  0.8233  0.1767  4 C 2.14-2.29
Cd  0.3233  0.3233  0.3233  4 C 2.14-2.29

Summary:
Space-group type ... I-43m, No. 217



A plane-wave DFT calculation with GGA-PBE was carried out for Cd5C7 after structural relaxation.

Cell lengths 6.6556, 6.6556, 6.6556 Å; angles 97.23, 97.23, 138.46 degrees
With the nearest neighbours (Å) after each atom.
Atoms (fractional coordinates):
Cd  0.7861  0.4132  0.0000  3 C 2.32-2.45
C  0.9939  0.6008  0.3931  2 C 1.51
Cd  0.0986  0.0986  0.0000  2 C 2.36
C  0.6008  0.2077  0.6069  2 C 1.51
C  0.2077  0.6008  0.6069  2 C 1.51
C  0.8508  0.3508  0.5000  4 C 1.51
Cd  0.4132  0.4132  0.6271  3 C 2.32-2.45
C  0.6008  0.9939  0.3931  2 C 1.51
C  0.5981  0.5981  0.0000  6 Cd 2.32-2.36
Cd  0.7861  0.7861  0.3729  3 C 2.32-2.45
Cd  0.4132  0.7861  0.0000  3 C 2.32-2.45
C  0.3508  0.8508  0.5000  4 C 1.51

Summary:
Space-group type ... I4mm, No. 107



A plane-wave DFT calculation with GGA-PBE was carried out for CdC after structural relaxation.

Cell lengths 4.4851, 4.4851, 3.0490 Å; angles 90.00, 90.00, 90.00 degrees
With the nearest neighbours (Å) after each atom.
Atoms (fractional coordinates):
Cd  0.7500  0.2500  0.0000  4 C 2.36
C  0.7500  0.7500  0.7632  4 Cd 2.36
Cd  0.2500  0.7500  0.0000  4 C 2.36
C  0.2500  0.2500  0.2368  4 Cd 2.36

Summary:
Space-group type ... P4/nmm, No. 129



A plane-wave DFT calculation with GGA-PBE was carried out for CdC after structural relaxation.

Cell lengths 2.6639, 2.6639, 24.4211 Å; angles 90.00, 90.00, 120.00 degrees
With the nearest neighbours (Å) after each atom.
Atoms (fractional coordinates):
C  0.3333  0.6667  0.7500  3 C 1.54
Cd  0.3333  0.6667  0.4361  6 Cd 2.66
Cd  0.3333  0.6667  0.0639  6 Cd 2.66
C  0.0000  0.0000  0.2500  3 C 1.54
C  0.0000  0.0000  0.7500  3 C 1.54
C  0.6667  0.3333  0.2500  3 C 1.54
Cd  0.6667  0.3333  0.9361  6 Cd 2.66
Cd  0.6667  0.3333  0.5639  6 Cd 2.66

Summary:
Space-group type ... P6_3/mmc, No. 194



A plane-wave DFT calculation with GGA-PBE was carried out for Cd4C after structural relaxation.

Cell lengths 6.0537, 6.0537, 6.0537 Å; angles 93.25, 93.25, 152.47 degrees
With the nearest neighbours (Å) after each atom.
Atoms (fractional coordinates):
C  0.0000  0.0000  0.0000  8 Cd 2.62, 2 C 2.88
Cd  0.2371  0.5000  0.7371  2 C 2.62, 2 Cd 2.88
Cd  0.7629  0.5000  0.2629  2 C 2.62, 2 Cd 2.88
Cd  0.5000  0.2371  0.7371  2 C 2.62, 2 Cd 2.88
Cd  0.5000  0.7629  0.2629  2 C 2.62, 2 Cd 2.88

Summary:
Space-group type ... I4/mmm, No. 139



A plane-wave DFT calculation with GGA-PBE was carried out for CdC3 after structural relaxation.

Cell lengths 3.8565, 3.8565, 3.3191 Å; angles 90.00, 90.00, 112.27 degrees
With the nearest neighbours (Å) after each atom.
Atoms (fractional coordinates):
Cd  0.0000  0.0000  0.0000  2 C 2.15
C  0.5000  0.5000  0.0000  2 Cd 2.15
C  0.0000  0.5000  0.5000  2 C 2.15
C  0.5000  0.0000  0.5000  2 C 2.15

Summary:
Space-group type ... Cmmm, No. 65



A plane-wave DFT calculation with GGA-PBE was carried out for CdC2 after structural relaxation.

Cell lengths 4.5163, 4.5163, 8.9984 Å; angles 90.00, 90.00, 120.00 degrees
With the nearest neighbours (Å) after each atom.
Atoms (fractional coordinates):
C  0.8905  0.1095  0.2500  2 C 1.48
C  0.7809  0.8905  0.7500  2 C 1.48
C  0.8905  0.7809  0.2500  2 C 1.48
C  0.2191  0.1095  0.2500  2 C 1.48
Cd  0.6667  0.3333  0.5803  9 C 2.71-2.76, 3 Cd 2.98
Cd  0.6667  0.3333  0.9197  9 C 2.71-2.76, 3 Cd 2.98
Cd  0.3333  0.6667  0.4197  9 C 2.71-2.76, 3 Cd 2.98
Cd  0.3333  0.6667  0.0803  9 C 2.71-2.76, 3 Cd 2.98
C  0.1095  0.8905  0.7500  2 C 1.48
C  0.0000  0.0000  0.5000  6 C 2.41
C  0.0000  0.0000  0.0000  6 C 2.41
C  0.1095  0.2191  0.7500  2 C 1.48

Summary:
Space-group type ... P6_3/mmc, No. 194



Fermi-level density of states list, top to bottom, in states/eV/atom: 0.678, 0.477, 0.350, 0.482, 0.172, 0.941, 0.507, 0.376, 0.383, 0.364, 0.639, 0.201, 0.000, 0.642, 0.371, 0.646, 0.206, 0.245, 0.446, 0.359
Final energy list, top to bottom, in eV/f.u.: -24.93, -8.13, -7.11, -9.25, -7.73, -9.27, -29.79, -38.48, -18.14, -23.02, -16.85, -8.33, -16.25, -5.83, -55.27, -5.73, -9.30, -8.71, -14.88, -12.69